Material: KPt
Method: DFT, GGA-PBE
State: relaxed

## Properties
The space group is P2_1/m (11). The formation energy from the elements comes out at 34 kJ/mol of formula units. The total energy is -3.39 eV/atom.

Cell lengths 2.9568, 4.8372, 9.0817 Å; angles 90.00, 99.62, 90.00 degrees
Closest atoms and distances in Å follow each position.
Atoms (fractional coordinates):
1 K 0.3621 0.2500 0.7311  2 K 2.96, 2 Pt 3.17
2 K 0.6379 0.7500 0.2689  2 K 2.96, 2 Pt 3.17
3 Pt 0.9772 0.7500 0.9556  2 Pt 2.55
4 Pt 0.0228 0.2500 0.0444  2 Pt 2.55

=====

Material: InBCl2
Method: DFT, GGA-PBE
State: relaxed

## Properties
The space group is R-3m (166). As for the energy relative to the lowest polymorph listed for this composition: 0 meV per atom. The total energy is -3.06 eV/atom.

Cell lengths 10.9941, 10.9941, 10.9941 Å; angles 17.34, 17.34, 17.34 degrees
Closest atoms and distances in Å follow each position.
Atoms (fractional coordinates):
1 B 0.0000 0.0000 0.0000  2 Cl 1.68
2 Cl 0.9483 0.9483 0.9483  1 B 1.68
3 Cl 0.0517 0.0517 0.0517  1 B 1.68
4 In 0.5000 0.5000 0.5000  6 In 3.31

=====

Material: Re3Se
Method: DFT, GGA-PBE
State: relaxed

## Properties
The space group is Immm (71). As for the energy relative to the lowest polymorph listed for this composition: 148 meV per atom. The total energy is -9.75 eV/atom.

Cell lengths 5.2625, 5.2625, 5.2625 Å; angles 147.33, 129.69, 61.28 degrees
Closest atoms and distances in Å follow each position.
Atoms (fractional coordinates):
1 Re 0.2711 0.2711 0.0000  2 Se 2.55, 4 Re 2.71
2 Re 0.7289 0.7289 0.0000  2 Se 2.55, 4 Re 2.71
3 Re 0.0000 0.5000 0.5000  4 Se 2.68, 6 Re 2.87-2.96
4 Se 0.5000 0.0000 0.5000  8 Re 2.55-2.68